Entry 1:
15
Lattice="-5.474 -4.117 -1.823 3.125 -1.408 -6.204 3.241 -5.595 2.902" Properties=species:S:1:pos:R:3 comment="Pu3PdAu, relaxed, DFT PBE-GGA" formation_enthalpy_0k_kj_per_mol_atoms=-18.1 n_ef_per_ev_atom=4.86 energy_ry_per_atom=-0.7703 rho_g_cm3=14.5 pbc="T T T"
Au 3.183 -3.501 -1.651
Au -1.174 -2.762 -4.013
Pu 0.212 -2.643 -1.218
Pu -1.020 -5.541 -5.429
Pd 1.563 -0.704 -3.102
Pu 0.447 -5.560 -2.562
Pu 1.913 -5.578 0.305
Pu 1.852 -3.381 -4.473
Pd 1.621 -2.797 1.451
Pd -2.737 -2.059 -0.912
Pu 3.552 -6.317 -2.950
Pu 0.681 -8.477 -3.907
Pu -2.659 -4.803 -2.175
Pu -0.959 -7.738 -0.652
Au -1.116 -4.856 0.540

Entry 2:
16
Lattice="4.846 0.000 0.000 0.000 7.013 0.000 0.000 0.000 9.693" Properties=species:S:1:pos:R:3 comment="Y4CuRh3, relaxed, DFT PBE-GGA" formation_enthalpy_0k_kj_per_mol_atoms=-66.6 n_ef_per_ev_atom=0.79 energy_ry_per_atom=-0.5286 rho_g_cm3=7.3 pbc="T T T"
Rh 0.000 0.000 0.000
Y 4.846 5.279 7.270
Y 2.423 1.733 4.847
Y 4.846 1.733 7.270
Y 0.001 5.279 2.423
Rh 2.426 3.506 2.423
Rh 2.421 3.506 7.270
Y 2.423 5.279 4.847
Y 0.001 1.733 2.423
Rh 2.425 0.000 2.423
Y 2.423 5.279 0.000
Rh 2.422 0.000 7.270
Y 2.423 1.733 0.000
Cu 0.000 3.506 4.847
Rh 0.000 0.000 4.847
Cu 0.000 3.506 0.000

Entry 3:
10
Lattice="-1.078 4.212 6.726 -3.439 0.404 -7.221 -2.904 -2.709 1.231" Properties=species:S:1:pos:R:3 comment="RbGaF3, relaxed, DFT PBE-GGA" n_ef_per_ev_atom=0.11 energy_ry_per_atom=-0.2962 formation_energy_uncorrected_kj_per_mol_atoms=-203 rho_g_cm3=3.6 pbc="T T T"
F 0.000 0.000 0.000
F -2.421 0.151 -1.867
Rb -3.655 1.536 5.289
F -4.999 1.756 2.602
Rb -3.765 0.371 -4.554
Ga -3.115 1.419 -0.715
F -4.234 2.004 -2.066
F -3.186 -0.097 2.801
F -1.452 -1.354 0.616
Ga -4.305 0.488 1.451